DFT (PBE) results for a geometry-optimized RbErCuS3 structure. Values from VASP.

## Properties
Total energy: -4.872 eV per atom
SG: P2_1/m (11)
Size of the total moment: 0.0 Bohr magnetons per cell

Geometry as Quantum ESPRESSO input:
```
&SYSTEM
  ibrav = 0, nat = 12, ntyp = 4
/
ATOMIC_SPECIES
Cu 63.55 Cu.upf
Er 167.26 Er.upf
Rb 85.47 Rb.upf
S 32.06 S.upf
ATOMIC_POSITIONS angstrom
Cu -4.4099 1.3823 2.0619
Cu 1.4251 4.0382 7.3814
Er -5.1668 2.1107 5.1807
Er 2.1820 3.3098 4.2626
Rb -1.1699 0.2644 3.9785
Rb -1.8149 5.1561 5.4648
S -5.7476 0.0260 3.3758
S 1.6211 1.3213 2.5403
S -3.2740 2.8496 3.3962
S 0.2892 2.5709 6.0471
S -4.6059 4.0992 6.9030
S 2.7629 5.3945 6.0675
CELL_PARAMETERS angstrom
-8.4675 2.4707 1.3349
-0.2634 -2.5232 2.9991
5.7462 5.4730 5.1094
```

=====

DFT (PBE) results for a geometry-optimized CdGaCoCu structure. Values from VASP.

## Properties
Total energy: -3.591 eV per atom
SG: F-43m (216)
Size of the total moment: 0.5 Bohr magnetons per cell
Energy above the lowest structure with this stoichiometry: 0.0 kJ/mol of atoms

Geometry as Quantum ESPRESSO input:
```
&SYSTEM
  ibrav = 0, nat = 4, ntyp = 4
/
ATOMIC_SPECIES
Cd 112.41 Cd.upf
Co 58.93 Co.upf
Cu 63.55 Cu.upf
Ga 69.72 Ga.upf
ATOMIC_POSITIONS angstrom
Cd 3.0513 3.0513 3.0513
Co 4.5770 4.5770 4.5770
Cu 1.5257 1.5257 1.5257
Ga 0.0000 0.0000 0.0000
CELL_PARAMETERS angstrom
0.0000 3.0513 3.0513
3.0513 0.0000 3.0513
3.0513 3.0513 0.0000
```

=====

DFT (PBE) results for a geometry-optimized Pr3Tm3NiTe2 structure. Values from VASP.

## Properties
Total energy: -5.152 eV per atom
SG: P-62m (189)
Size of the total moment: 0.0 Bohr magnetons per cell
Energy above the lowest structure with this stoichiometry: 0.0 kJ/mol of atoms

Geometry as Quantum ESPRESSO input:
```
&SYSTEM
  ibrav = 0, nat = 9, ntyp = 4
/
ATOMIC_SPECIES
Ni 58.69 Ni.upf
Pr 140.91 Pr.upf
Te 127.60 Te.upf
Tm 168.93 Tm.upf
ATOMIC_POSITIONS angstrom
Ni 0.0000 0.0000 0.0000
Pr 3.4229 0.0000 0.0000
Pr -1.7114 2.9643 0.0000
Pr 2.5220 4.3682 0.0000
Te 4.2334 2.4442 2.0248
Te 0.0000 4.8884 2.0248
Tm 6.5068 0.0000 2.0248
Tm 0.9801 1.6975 2.0248
Tm -3.2534 5.6350 2.0248
CELL_PARAMETERS angstrom
8.4669 0.0000 0.0000
-4.2334 7.3325 0.0000
0.0000 0.0000 4.0496
```

=====

DFT (PBE) results for a geometry-optimized ScAlCo structure. Values from VASP.

## Properties
Total energy: -5.203 eV per atom
SG: F-43m (216)
Size of the total moment: 0.3 Bohr magnetons per cell

Geometry as Quantum ESPRESSO input:
```
&SYSTEM
  ibrav = 0, nat = 3, ntyp = 3
/
ATOMIC_SPECIES
Al 26.98 Al.upf
Co 58.93 Co.upf
Sc 44.96 Sc.upf
ATOMIC_POSITIONS angstrom
Al 0.0150 -1.9832 1.7476
Co 0.0451 -5.9497 5.2429
Sc 0.0000 0.0000 0.0000
CELL_PARAMETERS angstrom
0.5884 -4.2462 0.5075
1.8373 -1.5090 3.6029
-2.3656 -2.1777 2.8802
```

=====

DFT (PBE) results for a geometry-optimized Ho3AlIn2Cu2Ni structure. Values from VASP.

## Properties
Total energy: -4.465 eV per atom
SG: Amm2 (38)
Size of the total moment: 0.0 Bohr magnetons per cell

Geometry as Quantum ESPRESSO input:
```
&SYSTEM
  ibrav = 0, nat = 9, ntyp = 5
/
ATOMIC_SPECIES
Al 26.98 Al.upf
Cu 63.55 Cu.upf
Ho 164.93 Ho.upf
In 114.82 In.upf
Ni 58.69 Ni.upf
ATOMIC_POSITIONS angstrom
Al 0.8579 -1.5545 0.0477
Cu 0.8318 -3.7108 -1.6761
Cu 2.6500 -2.5984 1.8699
Ho -1.8642 -2.7813 -1.1717
Ho 0.3958 -1.3987 3.2358
Ho 0.5817 -4.4745 1.1053
In 2.3869 -6.0099 -1.1841
In 3.7771 -5.1594 1.5272
Ni -1.3666 -0.9441 0.9969
CELL_PARAMETERS angstrom
-2.9196 -1.5503 1.9834
-1.0399 -4.9050 -5.3647
4.5623 -1.4778 5.5608
```

=====

DFT (PBE) results for a geometry-optimized Na2CdSnO4 structure. Values from VASP.

## Properties
Total energy: -4.875 eV per atom
SG: I-4 (82)

Geometry as Quantum ESPRESSO input:
```
&SYSTEM
  ibrav = 0, nat = 8, ntyp = 4
/
ATOMIC_SPECIES
Cd 112.41 Cd.upf
Na 22.99 Na.upf
O 16.00 O.upf
Sn 118.71 Sn.upf
ATOMIC_POSITIONS angstrom
Cd -1.3605 -0.7011 -3.3958
Na -4.5157 -3.4080 -1.3941
Na -0.2085 2.4959 -2.5676
O -1.3576 -0.2068 -5.5422
O -3.2432 0.0458 -2.5297
O -2.0003 0.8053 0.4565
O -0.5377 3.9304 1.3449
Sn -3.3621 -0.2096 -0.5669
CELL_PARAMETERS angstrom
1.7024 1.9266 -5.3389
-4.6033 -3.4832 -1.3385
-0.8471 3.6906 3.6555
```

=====

DFT (PBE) results for a geometry-optimized NiSn2Pd structure. Values from VASP.

## Properties
Total energy: -4.581 eV per atom
SG: F-43m (216)
Size of the total moment: 0.0 Bohr magnetons per cell
Energy above the lowest structure with this stoichiometry: 17.6 kJ/mol of atoms

Geometry as Quantum ESPRESSO input:
```
&SYSTEM
  ibrav = 0, nat = 4, ntyp = 3
/
ATOMIC_SPECIES
Ni 58.69 Ni.upf
Pd 106.42 Pd.upf
Sn 118.71 Sn.upf
ATOMIC_POSITIONS angstrom
Ni -1.7671 -1.3170 1.8736
Pd -3.5342 -2.6341 3.7471
Sn 0.0000 0.0000 0.0000
Sn -5.3013 -3.9511 5.6207
CELL_PARAMETERS angstrom
-2.7360 -3.7838 0.7144
-0.3255 -1.8989 4.3129
-4.0069 0.4146 2.4669
```

=====

DFT (PBE) results for a geometry-optimized Y2ErFe6Ni3 structure. Values from VASP.

## Properties
Total energy: -7.152 eV per atom
SG: R-3m (166)
Size of the total moment: 13.2 Bohr magnetons per cell
ΔH_f (0 K): -0.148 eV per atom

Geometry as Quantum ESPRESSO input:
```
&SYSTEM
  ibrav = 0, nat = 12, ntyp = 4
/
ATOMIC_SPECIES
Er 167.26 Er.upf
Fe 55.84 Fe.upf
Ni 58.69 Ni.upf
Y 88.91 Y.upf
ATOMIC_POSITIONS angstrom
Er 0.0000 0.0000 0.0000
Fe 4.0592 -5.1569 8.0458
Fe 4.2113 -6.7874 12.2118
Fe 6.4048 -5.6655 11.8242
Fe 2.2648 -3.9813 9.3180
Fe 4.4583 -2.8594 8.9305
Fe 4.6104 -4.4899 13.0964
Ni 2.8895 -3.2152 7.0464
Ni 4.3348 -4.8234 10.5711
Ni 5.7802 -6.4317 14.0958
Y 1.2252 -1.3633 2.9878
Y 7.4444 -8.2835 18.1544
CELL_PARAMETERS angstrom
1.1669 -5.4880 6.7171
5.5401 -3.2513 5.9444
1.9627 -0.9075 8.4808
```